VASP calculation (GGA-PBE) on an optimized crystal structure of Nb4TeAuC2.

```
Nb4TeAuC2
1.0
3.308 0.000 0.000
-1.654 2.865 0.000
0.000 0.000 13.353
Nb Te Au C
4 1 1 2
Direct
0.000 0.000 0.164
0.000 0.000 0.836
0.333 0.667 0.335
0.333 0.667 0.665
0.333 0.667 0.000
0.000 0.000 0.500
0.667 0.333 0.251
0.667 0.333 0.749
```

Computed properties:
**Magnetization**: 0.00 μB/f.u.
**E**: -8.50 eV/atom
**Crystal system**: hexagonal